(1)
Material: LiThAlIr
Method: DFT, PBE
State: relaxed

Lattice parameters (Å, degrees): 6.7239 6.7239 6.7239 90.00 90.00 90.00
Closest atoms and distances in Å follow each position.
Space group F-43m (No. 216)
Unique sites:
Li1 0.0000 0.0000 0.0000 (multiplicity 4)  4 Th 2.91, 4 Al 2.91
Th1 0.2500 0.2500 0.7500 (multiplicity 4)  4 Li 2.91, 4 Ir 2.91
Al1 0.2500 0.2500 0.2500 (multiplicity 4)  4 Li 2.91, 4 Ir 2.91
Ir1 0.0000 0.0000 0.5000 (multiplicity 4)  4 Th 2.91, 4 Al 2.91

Results
* energy relative to the elements: -2.2 eV per formula unit



(2)
Material: Cd2InSi
Method: DFT, PBE
State: relaxed

Lattice parameters (Å, degrees): 2.9470 4.0509 7.6453 90.00 90.00 90.00
Closest atoms and distances in Å follow each position.
Space group Pmm2 (No. 25)
Unique sites:
Cd1 0.0000 0.0000 0.0000 (multiplicity 1)  6 Cd 2.95-3.19, 4 Si 3.02
Cd2 0.5000 0.5000 0.2579 (multiplicity 1)  6 Cd 2.95-3.19
In1 0.0000 0.0000 0.5544 (multiplicity 1)  2 In 2.95, 4 Si 3.04
Si1 0.5000 0.5000 0.7795 (multiplicity 1)  2 Si 2.95, 4 Cd 3.02, 4 In 3.04

Results
* ΔE to the lowest computed polymorph: 0.012 eV/atom
* energy relative to the elements, uncorrected: 0.2621 eV/atom



(3)
Material: LiLaAl2
Method: DFT, PBE
State: relaxed

Lattice parameters (Å, degrees): 5.2176 7.3782 4.5572 90.00 90.00 90.00
Closest atoms and distances in Å follow each position.
Space group Cmmm (No. 65)
Unique sites:
Li1 0.0000 0.0000 0.0000 (multiplicity 2)  2 La 2.61, 4 Al 2.64
La1 0.0000 0.5000 0.0000 (multiplicity 2)  2 Li 2.61
Al1 0.0000 0.1797 0.5000 (multiplicity 4)  2 Li 2.64, 3 Al 2.65-2.81

Results
* ΔE to the lowest computed polymorph: 0.176 eV/atom
* energy relative to the elements: -0.4 eV per formula unit



| no. | VASP energy (eV/atom) |
| --- | --- |
| 1 | -6.04 |
| 2 | -2.24 |
| 3 | -3.67 |